[1]
This record from Alexandria describes a geometry-optimized PaMn3Cl2O6 structure. The functional is GGA+U.

Values from the calculation:
The calculated total energy is -88.30 eV/f.u. As for the calculated volume: 352.0 Å³/cell. As for the total magnetization: 12.00 μB/f.u.

```
data_PaMn3Cl2O6
_chemical_formula_sum 'Pa2 Mn6 Cl4 O12'
_cell_length_a 11.327
_cell_length_b 6.117
_cell_length_c 5.331
_cell_angle_alpha 90.00
_cell_angle_beta 107.68
_cell_angle_gamma 90.00
_space_group_name_H-M_alt 'C 1 2/m 1'
_space_group_IT_number 12
_space_group_name_Hall '-C 2y'
loop_
_atom_site_label
_atom_site_fract_x
_atom_site_fract_y
_atom_site_fract_z
Pa1 0.000 0.000 0.000
Mn1 0.000 0.500 0.500
Mn2 0.250 0.250 0.000
Cl1 0.190 0.500 0.315
O1 0.069 0.258 0.777
O2 0.199 0.000 0.156
```



[2]
This record from Alexandria describes a geometry-optimized MnPbClO2 structure. The functional is GGA+U.

Values from the calculation:
The calculated total energy is -29.70 eV/f.u. As for the calculated volume: 384.3 Å³/cell. As for the total magnetization: 4.00 μB/f.u.

```
data_MnPbClO2
_chemical_formula_sum 'Mn4 Pb4 Cl4 O8'
_cell_length_a 5.750
_cell_length_b 12.003
_cell_length_c 5.568
_cell_angle_alpha 90.00
_cell_angle_beta 90.00
_cell_angle_gamma 90.00
_space_group_name_H-M_alt 'C m c m'
_space_group_IT_number 63
_space_group_name_Hall '-C 2c 2'
loop_
_atom_site_label
_atom_site_fract_x
_atom_site_fract_y
_atom_site_fract_z
Mn1 0.000 0.007 0.250
Pb1 0.000 0.377 0.250
Cl1 0.000 0.235 0.750
O1 0.230 0.000 0.000
```



[3]
This record from Alexandria describes a geometry-optimized MnPb2Cl2O2 structure. The functional is GGA+U.

Values from the calculation:
The calculated total energy is -37.20 eV/f.u. As for the calculated volume: 282.0 Å³/cell. As for the total magnetization: 4.94 μB/f.u.

```
data_MnPb2Cl2O2
_chemical_formula_sum 'Mn2 Pb4 Cl4 O4'
_cell_length_a 4.217
_cell_length_b 4.217
_cell_length_c 15.858
_cell_angle_alpha 90.00
_cell_angle_beta 90.00
_cell_angle_gamma 90.00
_space_group_name_H-M_alt 'I 4/m m m'
_space_group_IT_number 139
_space_group_name_Hall '-I 4 2'
loop_
_atom_site_label
_atom_site_fract_x
_atom_site_fract_y
_atom_site_fract_z
Mn1 0.000 0.000 0.000
Pb1 0.000 0.000 0.395
Cl1 0.000 0.000 0.173
O1 0.000 0.500 0.000
```



[4]
This record from Alexandria describes a geometry-optimized PmMn2ClO4 structure. The functional is GGA+U.

Values from the calculation:
The calculated total energy is -56.33 eV/f.u. As for the calculated volume: 121.1 Å³/cell. As for the total magnetization: 8.02 μB/f.u.

```
data_PmMn2ClO4
_chemical_formula_sum 'Pm1 Mn2 Cl1 O4'
_cell_length_a 3.762
_cell_length_b 3.762
_cell_length_c 8.559
_cell_angle_alpha 90.00
_cell_angle_beta 90.00
_cell_angle_gamma 90.00
_space_group_name_H-M_alt 'P 4/m m m'
_space_group_IT_number 123
_space_group_name_Hall '-P 4 2'
loop_
_atom_site_label
_atom_site_fract_x
_atom_site_fract_y
_atom_site_fract_z
Pm1 0.000 0.000 0.000
Mn1 0.500 0.500 0.250
Cl1 0.000 0.000 0.500
O1 0.000 0.500 0.175
```



> Which value of calculated total energy does entry 2 give?

-29.70 eV/f.u.